[1]
VASP calculation (SCAN) on a PBEsol-optimized structure of Li2Mn4OF8.

Calculated values
The value obtained for the total moment is 1.333 μB per atom. For the final energy, the calculation gives -10.252 eV/atom. The formation energy without anion corrections comes out at -266.5 kJ/mol of atoms.

```
data_Li2Mn4OF8
_cell_length_a 9.330
_cell_length_b 5.258
_cell_length_c 14.230
_cell_angle_alpha 90.00
_cell_angle_beta 91.08
_cell_angle_gamma 90.00
_space_group_name_H-M_alt 'C 1 c 1'
_space_group_IT_number 9
loop_
_space_group_symop_operation_xyz
'x,y,z'
'x,-y,z+1/2'
'x+1/2,y+1/2,z'
'x+1/2,-y+1/2,z+1/2'
loop_
_atom_site_label
_atom_site_type_symbol
_atom_site_fract_x
_atom_site_fract_y
_atom_site_fract_z
_atom_site_occupancy
Li1 Li 0.000 0.006 0.000 1
Li2 Li 0.489 0.464 0.790 1
Mn1 Mn 0.167 0.495 0.467 1
Mn2 Mn 0.172 0.466 0.688 1
Mn3 Mn 0.327 0.008 0.839 1
Mn4 Mn 0.339 0.001 0.632 1
O1 O 0.334 0.265 0.735 1
F1 F 0.026 0.353 0.072 1
F2 F 0.147 0.151 0.909 1
F3 F 0.159 0.183 0.567 1
F4 F 0.168 0.176 0.243 1
F5 F 0.323 0.353 0.068 1
F6 F 0.348 0.334 0.411 1
F7 F 0.482 0.196 0.237 1
F8 F 0.497 0.203 0.908 1
```


[2]
VASP calculation (SCAN) on a PBEsol-optimized structure of CaOsSe2.

Calculated values
The value obtained for the total moment is 0.000 μB per atom. For the final energy, the calculation gives -30.627 eV/atom. The formation energy without anion corrections comes out at -19.5 kJ/mol of atoms. Its energy above the most stable polymorph in this dataset is 2.26 eV/f.u.

```
data_CaOsSe2
_cell_length_a 4.681
_cell_length_b 4.681
_cell_length_c 3.183
_cell_angle_alpha 90.00
_cell_angle_beta 90.00
_cell_angle_gamma 90.00
_space_group_name_H-M_alt 'P 4/m m m'
_space_group_IT_number 123
_space_group_name_Hall '-P 4 2'
loop_
_atom_site_label
_atom_site_type_symbol
_atom_site_fract_x
_atom_site_fract_y
_atom_site_fract_z
_atom_site_occupancy
Ca1 Ca 0.000 0.000 0.000 1
Os1 Os 0.500 0.500 0.000 1
Se1 Se 0.000 0.500 0.500 1
```


[3]
VASP calculation (SCAN) on a PBEsol-optimized structure of BaTc2W.

Calculated values
The value obtained for the total moment is 0.000 μB per atom. For the final energy, the calculation gives -44.071 eV/atom. As for the formation energy: 0.77 eV/atom. Its energy above the most stable polymorph in this dataset is 0.00 eV/f.u.

```
data_BaTc2W
_cell_length_a 2.993
_cell_length_b 3.641
_cell_length_c 7.762
_cell_angle_alpha 90.00
_cell_angle_beta 90.00
_cell_angle_gamma 90.00
_space_group_name_H-M_alt 'P m m 2'
_space_group_IT_number 25
loop_
_space_group_symop_operation_xyz
'x,y,z'
'-x,-y,z'
'-x,y,z'
'x,-y,z'
loop_
_atom_site_label
_atom_site_type_symbol
_atom_site_fract_x
_atom_site_fract_y
_atom_site_fract_z
_atom_site_occupancy
Ba1 Ba 0.000 0.000 0.000 1
Tc1 Tc 0.000 0.000 0.511 1
Tc2 Tc 0.500 0.500 0.656 1
W1 W 0.500 0.500 0.349 1
```


[4]
VASP calculation (SCAN) on a PBEsol-optimized structure of SbAu2.

Calculated values
The value obtained for the total moment is 0.000 μB per atom. For the final energy, the calculation gives -58.594 eV/atom. The formation energy without anion corrections comes out at -6.7 kJ/mol of atoms.

```
data_SbAu2
_cell_length_a 11.355
_cell_length_b 3.874
_cell_length_c 6.181
_cell_angle_alpha 90.00
_cell_angle_beta 110.49
_cell_angle_gamma 90.00
_space_group_name_H-M_alt 'C 1 2/m 1'
_space_group_IT_number 12
loop_
_space_group_symop_operation_xyz
'x,y,z'
'-x,-y,-z'
'-x,y,-z'
'x,-y,z'
'x+1/2,y+1/2,z'
'-x+1/2,-y+1/2,-z'
'-x+1/2,y+1/2,-z'
'x+1/2,-y+1/2,z'
loop_
_atom_site_label
_atom_site_type_symbol
_atom_site_fract_x
_atom_site_fract_y
_atom_site_fract_z
_atom_site_occupancy
Sb1 Sb 0.194 0.000 0.187 1
Au1 Au 0.082 0.500 0.358 1
Au2 Au 0.107 0.000 0.719 1
```


[5]
VASP calculation (SCAN) on a PBEsol-optimized structure of Pb2Br.

Calculated values
The value obtained for the total moment is 0.000 μB per atom. For the final energy, the calculation gives -56.723 eV/atom. The formation energy without anion corrections comes out at 27.4 kJ/mol of atoms.

```
data_Pb2Br
_cell_length_a 7.333
_cell_length_b 7.333
_cell_length_c 7.333
_cell_angle_alpha 90.00
_cell_angle_beta 90.00
_cell_angle_gamma 90.00
_space_group_name_H-M_alt 'F m -3 m'
_space_group_IT_number 225
_space_group_name_Hall '-F 4 2 3'
loop_
_atom_site_label
_atom_site_type_symbol
_atom_site_fract_x
_atom_site_fract_y
_atom_site_fract_z
_atom_site_occupancy
Pb1 Pb 0.250 0.250 0.250 1
Br1 Br 0.000 0.000 0.000 1
```


[6]
VASP calculation (SCAN) on a PBEsol-optimized structure of MgH2Rh.

Calculated values
The value obtained for the total moment is 0.000 μB per atom. For the final energy, the calculation gives -11.162 eV/atom.

```
data_MgH2Rh
_cell_length_a 5.250
_cell_length_b 5.250
_cell_length_c 5.250
_cell_angle_alpha 90.00
_cell_angle_beta 90.00
_cell_angle_gamma 90.00
_space_group_name_H-M_alt 'F m -3 m'
_space_group_IT_number 225
_space_group_name_Hall '-F 4 2 3'
loop_
_atom_site_label
_atom_site_type_symbol
_atom_site_fract_x
_atom_site_fract_y
_atom_site_fract_z
_atom_site_occupancy
Mg1 Mg 0.000 0.000 0.000 1
H1 H 0.250 0.250 0.250 1
Rh1 Rh 0.000 0.000 0.500 1
```


[7]
VASP calculation (SCAN) on a PBEsol-optimized structure of SnPPd5.

Calculated values
The value obtained for the total moment is 0.000 μB per atom. For the final energy, the calculation gives -30.575 eV/atom. As for the formation energy: -0.55 eV/atom.

```
data_SnPPd5
_cell_length_a 3.923
_cell_length_b 3.923
_cell_length_c 6.925
_cell_angle_alpha 90.00
_cell_angle_beta 90.00
_cell_angle_gamma 90.00
_space_group_name_H-M_alt 'P 4/m m m'
_space_group_IT_number 123
_space_group_name_Hall '-P 4 2'
loop_
_atom_site_label
_atom_site_type_symbol
_atom_site_fract_x
_atom_site_fract_y
_atom_site_fract_z
_atom_site_occupancy
Sn1 Sn 0.000 0.000 0.000 1
P1 P 0.500 0.500 0.500 1
Pd1 Pd 0.000 0.500 0.299 1
Pd2 Pd 0.500 0.500 0.000 1
```


[8]
VASP calculation (SCAN) on a PBEsol-optimized structure of ScCd2Cu2.

Calculated values
The value obtained for the total moment is 0.000 μB per atom. For the final energy, the calculation gives -21.150 eV/atom. As for the formation energy: -0.06 eV/atom.

```
data_ScCd2Cu2
_cell_length_a 3.888
_cell_length_b 3.888
_cell_length_c 11.866
_cell_angle_alpha 90.00
_cell_angle_beta 90.00
_cell_angle_gamma 90.00
_space_group_name_H-M_alt 'I 4/m m m'
_space_group_IT_number 139
_space_group_name_Hall '-I 4 2'
loop_
_atom_site_label
_atom_site_type_symbol
_atom_site_fract_x
_atom_site_fract_y
_atom_site_fract_z
_atom_site_occupancy
Sc1 Sc 0.000 0.000 0.000 1
Cd1 Cd 0.000 0.500 0.250 1
Cu1 Cu 0.000 0.000 0.404 1
```


[9]
VASP calculation (SCAN) on a PBEsol-optimized structure of IrCl.

Calculated values
The value obtained for the total moment is 0.000 μB per atom. For the final energy, the calculation gives -38.309 eV/atom. The formation energy without anion corrections comes out at 118.6 kJ/mol of atoms. Its energy above the most stable polymorph in this dataset is 1.75 eV/f.u.

```
data_IrCl
_cell_length_a 2.8443
_cell_length_b 2.8443
_cell_length_c 4.2430
_cell_angle_alpha 90.00
_cell_angle_beta 90.00
_cell_angle_gamma 120.00
_space_group_name_H-M_alt 'P -6 m 2'
_space_group_IT_number 187
_space_group_name_Hall 'P -6 2'
loop_
_atom_site_label
_atom_site_type_symbol
_atom_site_fract_x
_atom_site_fract_y
_atom_site_fract_z
_atom_site_occupancy
Ir1 Ir 0.0000 0.0000 0.0000 1
Cl1 Cl 0.6667 0.3333 0.5000 1
```


[10]
VASP calculation (SCAN) on a PBEsol-optimized structure of Mg6Te5O16.

Calculated values
The value obtained for the total moment is 0.000 μB per atom. For the final energy, the calculation gives -13.725 eV/atom. The formation energy without anion corrections comes out at -195.7 kJ/mol of atoms.

```
data_Mg6Te5O16
_cell_length_a 11.079
_cell_length_b 10.258
_cell_length_c 12.819
_cell_angle_alpha 90.00
_cell_angle_beta 90.00
_cell_angle_gamma 90.00
_space_group_name_H-M_alt 'P n m a'
_space_group_IT_number 62
loop_
_space_group_symop_operation_xyz
'x,y,z'
'-x,-y,-z'
'-x+1/2,-y,z+1/2'
'x+1/2,y,-z+1/2'
'x+1/2,-y+1/2,-z+1/2'
'-x+1/2,y+1/2,z+1/2'
'-x,y+1/2,-z'
'x,-y+1/2,z'
loop_
_atom_site_label
_atom_site_type_symbol
_atom_site_fract_x
_atom_site_fract_y
_atom_site_fract_z
_atom_site_occupancy
Mg1 Mg 0.014 0.074 0.107 1
Mg2 Mg 0.246 0.571 0.009 1
Mg3 Mg 0.249 0.592 0.270 1
Te1 Te 0.010 0.541 0.634 1
Te2 Te 0.031 0.750 0.140 1
Te3 Te 0.198 0.750 0.815 1
Te4 Te 0.220 0.750 0.510 1
O1 O 0.025 0.750 0.829 1
O2 O 0.057 0.612 0.043 1
O3 O 0.076 0.518 0.245 1
O4 O 0.103 0.545 0.455 1
O5 O 0.138 0.079 0.643 1
O6 O 0.174 0.556 0.851 1
O7 O 0.185 0.110 0.058 1
O8 O 0.193 0.750 0.181 1
O9 O 0.217 0.250 0.446 1
O10 O 0.221 0.250 0.870 1
```


[11]
VASP calculation (SCAN) on a PBEsol-optimized structure of BaMo2Ru.

Calculated values
The value obtained for the total moment is 0.000 μB per atom. For the final energy, the calculation gives -35.110 eV/atom. As for the formation energy: 0.93 eV/atom. Its energy above the most stable polymorph in this dataset is 0.00 eV/f.u.

```
data_BaMo2Ru
_cell_length_a 3.1174
_cell_length_b 3.1174
_cell_length_c 27.8733
_cell_angle_alpha 90.00
_cell_angle_beta 90.00
_cell_angle_gamma 120.00
_space_group_name_H-M_alt 'R 3 m'
_space_group_IT_number 160
_space_group_name_Hall 'R 3 -2"'
loop_
_atom_site_label
_atom_site_type_symbol
_atom_site_fract_x
_atom_site_fract_y
_atom_site_fract_z
_atom_site_occupancy
Ba1 Ba 0.0000 0.0000 0.0000 1
Mo1 Mo 0.0000 0.0000 0.5019 1
Mo2 Mo 0.0000 0.0000 0.7716 1
Ru1 Ru 0.0000 0.0000 0.2356 1
```


[12]
VASP calculation (SCAN) on a PBEsol-optimized structure of AlTeW2.

Calculated values
The value obtained for the total moment is 0.000 μB per atom. For the final energy, the calculation gives -45.561 eV/atom. The formation energy without anion corrections comes out at 51.5 kJ/mol of atoms. Its energy above the most stable polymorph in this dataset is 0.00 eV/f.u.

```
data_AlTeW2
_cell_length_a 9.077
_cell_length_b 3.237
_cell_length_c 4.716
_cell_angle_alpha 90.00
_cell_angle_beta 97.36
_cell_angle_gamma 90.00
_space_group_name_H-M_alt 'C 1 2/m 1'
_space_group_IT_number 12
loop_
_space_group_symop_operation_xyz
'x,y,z'
'-x,-y,-z'
'-x,y,-z'
'x,-y,z'
'x+1/2,y+1/2,z'
'-x+1/2,-y+1/2,-z'
'-x+1/2,y+1/2,-z'
'x+1/2,-y+1/2,z'
loop_
_atom_site_label
_atom_site_type_symbol
_atom_site_fract_x
_atom_site_fract_y
_atom_site_fract_z
_atom_site_occupancy
Al1 Al 0.000 0.000 0.000 1
Te1 Te 0.000 0.500 0.500 1
W1 W 0.249 0.000 0.775 1
```


- Among the records above, which one has the highest total moment?
  Li2Mn4OF8